(1)
Computed, not measured: a relaxed structure of Li2Mg2Rh at the PBE level of DFT.

Calculated values
The formation energy is 2.79 kJ/mol of atoms. Its space group is P4/mbm, No. 127. The value obtained for the calculated volume is 18.02 Å³ per atom.

Cell and atoms, written as CIF:
```
data_Li2Mg2Rh
_space_group_name_H-M_alt 'P 1'
_space_group_IT_number 1
_space_group_name_Hall 'P 1'
_cell_length_a 6.8444
_cell_length_b 6.8444
_cell_length_c 3.8467
_cell_angle_alpha 90.00
_cell_angle_beta 90.00
_cell_angle_gamma 90.00
loop_
_atom_site_label
_atom_site_fract_x
_atom_site_fract_y
_atom_site_fract_z
Li1 0.8371 0.3371 0.5000
Li2 0.3371 0.1629 0.5000
Li3 0.1629 0.6629 0.5000
Li4 0.6629 0.8371 0.5000
Mg1 0.6535 0.1535 0.0000
Mg2 0.1535 0.3465 0.0000
Mg3 0.3465 0.8465 0.0000
Mg4 0.8465 0.6535 0.0000
Rh1 0.5000 0.5000 0.0000
Rh2 0.0000 0.0000 0.0000
```

(2)
Computed, not measured: a relaxed structure of ZrOsSe2N at the PBE level of DFT.

Calculated values
Its space group is P4/mmm, No. 123. Its raw formation energy is 0.11 eV per atom. The value obtained for the calculated volume is 18.97 Å³ per atom.

Cell and atoms, written as CIF:
```
data_ZrOsSe2N
_space_group_name_H-M_alt 'P 1'
_space_group_IT_number 1
_space_group_name_Hall 'P 1'
_cell_length_a 5.0783
_cell_length_b 5.0783
_cell_length_c 3.6783
_cell_angle_alpha 90.00
_cell_angle_beta 90.00
_cell_angle_gamma 90.00
loop_
_atom_site_label
_atom_site_fract_x
_atom_site_fract_y
_atom_site_fract_z
Se1 0.0000 0.5000 0.0000
Se2 0.5000 0.0000 0.0000
Os1 0.0000 0.0000 0.0000
N1 0.0000 0.0000 0.5000
Zr1 0.5000 0.5000 0.5000
```

(3)
Computed, not measured: a relaxed structure of Na5CdPb at the PBE level of DFT.

Calculated values
The formation energy is -3.65 kJ/mol of atoms. Its space group is C2/c, No. 15. The value obtained for the calculated volume is 30.45 Å³ per atom.

Cell and atoms, written as CIF:
```
data_Na5CdPb
_space_group_name_H-M_alt 'P 1'
_space_group_IT_number 1
_space_group_name_Hall 'P 1'
_cell_length_a 6.5061
_cell_length_b 6.5061
_cell_length_c 11.9002
_cell_angle_alpha 82.56
_cell_angle_beta 82.56
_cell_angle_gamma 58.85
loop_
_atom_site_label
_atom_site_fract_x
_atom_site_fract_y
_atom_site_fract_z
Na1 0.8346 0.7028 0.1901
Na2 0.3231 0.3852 0.5309
Na3 0.7028 0.8346 0.6901
Na4 0.3852 0.3231 0.0309
Na5 0.2070 0.7930 0.7500
Na6 0.1654 0.2972 0.8099
Na7 0.2972 0.1654 0.3099
Na8 0.6769 0.6148 0.4691
Na9 0.7930 0.2070 0.2500
Na10 0.6148 0.6769 0.9691
Cd1 0.6955 0.3045 0.7500
Cd2 0.3045 0.6955 0.2500
Pb1 0.0000 0.0000 0.0000
Pb2 0.0000 0.0000 0.5000
```

(4)
Computed, not measured: a relaxed structure of Ba2TlCu at the PBE level of DFT.

Calculated values
The formation energy is -9.53 kJ/mol of atoms. Its space group is Cm, No. 8. The value obtained for the calculated volume is 34.41 Å³ per atom.

Cell and atoms, written as CIF:
```
data_Ba2TlCu
_space_group_name_H-M_alt 'P 1'
_space_group_IT_number 1
_space_group_name_Hall 'P 1'
_cell_length_a 6.8245
_cell_length_b 6.8245
_cell_length_c 5.7897
_cell_angle_alpha 64.94
_cell_angle_beta 64.94
_cell_angle_gamma 34.73
loop_
_atom_site_label
_atom_site_fract_x
_atom_site_fract_y
_atom_site_fract_z
Ba1 0.9814 0.9814 0.0188
Ba2 0.7903 0.7903 0.7100
Tl1 0.1934 0.1934 0.3074
Cu1 0.5350 0.5350 0.4637
```

(5)
Computed, not measured: a relaxed structure of Sr2AsHOs at the PBE level of DFT.

Calculated values
Its space group is P4/mmm, No. 123. As for the final energy: -4.457 eV/atom. The value obtained for the calculated volume is 31.74 Å³ per atom.

Cell and atoms, written as CIF:
```
data_Sr2AsHOs
_space_group_name_H-M_alt 'P 1'
_space_group_IT_number 1
_space_group_name_Hall 'P 1'
_cell_length_a 5.8805
_cell_length_b 4.5892
_cell_length_c 5.8805
_cell_angle_alpha 90.00
_cell_angle_beta 90.00
_cell_angle_gamma 90.00
loop_
_atom_site_label
_atom_site_fract_x
_atom_site_fract_y
_atom_site_fract_z
Sr1 0.5000 0.0000 0.0000
Sr2 0.0000 0.0000 0.5000
Os1 0.0000 0.0000 0.0000
As1 0.0000 0.5000 0.0000
H1 0.5000 0.5000 0.5000
```

(6)
Computed, not measured: a relaxed structure of La2Pm3Sb2 at the PBE level of DFT.

Calculated values
Its space group is Immm, No. 71. Its raw formation energy is -0.57 eV per atom. The value obtained for the calculated volume is 32.43 Å³ per atom.

Cell and atoms, written as CIF:
```
data_La2Pm3Sb2
_space_group_name_H-M_alt 'P 1'
_space_group_IT_number 1
_space_group_name_Hall 'P 1'
_cell_length_a 4.2573
_cell_length_b 5.2532
_cell_length_c 10.6980
_cell_angle_alpha 104.19
_cell_angle_beta 101.48
_cell_angle_gamma 90.00
loop_
_atom_site_label
_atom_site_fract_x
_atom_site_fract_y
_atom_site_fract_z
Pm1 0.2492 0.7492 0.4984
Pm2 0.7508 0.2508 0.5016
Pm3 0.0000 0.5000 0.0000
Sb1 0.6271 0.6268 0.2543
Sb2 0.3729 0.3732 0.7457
La1 0.1049 0.1048 0.2099
La2 0.8951 0.8952 0.7901
```

(7)
Computed, not measured: a relaxed structure of CsRb2ZnBr6 at the PBE level of DFT.

Calculated values
Its space group is Fm-3m, No. 225. Its raw formation energy is -1.14 eV per atom. The value obtained for the calculated volume is 42.81 Å³ per atom.

Cell and atoms, written as CIF:
```
data_CsRb2ZnBr6
_space_group_name_H-M_alt 'P 1'
_space_group_IT_number 1
_space_group_name_Hall 'P 1'
_cell_length_a 8.4593
_cell_length_b 8.4593
_cell_length_c 8.4593
_cell_angle_alpha 60.00
_cell_angle_beta 60.00
_cell_angle_gamma 90.00
loop_
_atom_site_label
_atom_site_fract_x
_atom_site_fract_y
_atom_site_fract_z
Br1 0.2821 0.7179 0.0000
Br2 0.2821 0.2821 0.0000
Br3 0.2821 0.2821 0.4358
Br4 0.7179 0.7179 0.0000
Br5 0.7179 0.7179 0.5642
Br6 0.7179 0.2821 0.0000
Rb1 0.2500 0.7500 0.5000
Rb2 0.7500 0.2500 0.5000
Cs1 0.0000 0.0000 0.0000
Zn1 0.5000 0.5000 0.0000
```

(8)
Computed, not measured: a relaxed structure of Rb2Tl6CdPt at the PBE level of DFT.

Calculated values
The formation energy is -3.97 kJ/mol of atoms. Its space group is R-3m, No. 166. The value obtained for the calculated volume is 34.57 Å³ per atom.

Cell and atoms, written as CIF:
```
data_Rb2Tl6CdPt
_space_group_name_H-M_alt 'P 1'
_space_group_IT_number 1
_space_group_name_Hall 'P 1'
_cell_length_a 7.7500
_cell_length_b 7.7500
_cell_length_c 14.0235
_cell_angle_alpha 73.96
_cell_angle_beta 73.96
_cell_angle_gamma 60.00
loop_
_atom_site_label
_atom_site_fract_x
_atom_site_fract_y
_atom_site_fract_z
Tl1 0.0834 0.6653 0.5860
Tl2 0.3347 0.3347 0.4140
Tl3 0.2204 0.2204 0.9105
Tl4 0.9166 0.3347 0.4140
Tl5 0.7796 0.3514 0.0895
Tl6 0.3514 0.7796 0.0895
Tl7 0.2204 0.6486 0.9105
Tl8 0.6653 0.0834 0.5860
Tl9 0.3347 0.9166 0.4140
Tl10 0.6486 0.2204 0.9105
Tl11 0.6653 0.6653 0.5860
Tl12 0.7796 0.7796 0.0895
Cd1 0.4269 0.4269 0.7194
Cd2 0.5731 0.5731 0.2806
Pt1 0.5000 0.5000 0.5000
Pt2 0.0000 0.0000 0.0000
Rb1 0.1038 0.1038 0.6886
Rb2 0.8962 0.8962 0.3114
Rb3 0.2775 0.2775 0.1675
Rb4 0.7225 0.7225 0.8325
```

(9)
Computed, not measured: a relaxed structure of TaTi2MnAl at the PBE level of DFT.

Calculated values
The formation energy is 99.32 kJ/mol of atoms. Its space group is P4/mmm, No. 123. The value obtained for the calculated volume is 17.89 Å³ per atom.

Cell and atoms, written as CIF:
```
data_TaTi2MnAl
_space_group_name_H-M_alt 'P 1'
_space_group_IT_number 1
_space_group_name_Hall 'P 1'
_cell_length_a 4.6343
_cell_length_b 4.1638
_cell_length_c 4.6343
_cell_angle_alpha 90.00
_cell_angle_beta 90.00
_cell_angle_gamma 90.00
loop_
_atom_site_label
_atom_site_fract_x
_atom_site_fract_y
_atom_site_fract_z
Ti1 0.5000 0.0000 0.0000
Ti2 0.0000 0.0000 0.5000
Al1 0.0000 0.0000 0.0000
Ta1 0.5000 0.5000 0.5000
Mn1 0.0000 0.5000 0.0000
```

(10)
Computed, not measured: a relaxed structure of BeAlIn at the PBE level of DFT.

Calculated values
The formation energy is 39.04 kJ/mol of atoms. Its space group is Imm2, No. 44. The value obtained for the calculated volume is 17.78 Å³ per atom.

Cell and atoms, written as CIF:
```
data_BeAlIn
_space_group_name_H-M_alt 'P 1'
_space_group_IT_number 1
_space_group_name_Hall 'P 1'
_cell_length_a 5.6255
_cell_length_b 5.6255
_cell_length_c 5.6255
_cell_angle_alpha 151.20
_cell_angle_beta 141.35
_cell_angle_gamma 48.91
loop_
_atom_site_label
_atom_site_fract_x
_atom_site_fract_y
_atom_site_fract_z
Be1 0.3655 0.3655 0.0000
Al1 0.9619 0.9619 0.0000
In1 0.6726 0.6726 0.0000
```

(11)
Computed, not measured: a relaxed structure of NpIrSe4 at the PBE level of DFT.

Calculated values
Its space group is P2_1/c, No. 14. Its raw formation energy is -0.47 eV per atom. The value obtained for the calculated volume is 23.25 Å³ per atom.

Cell and atoms, written as CIF:
```
data_NpIrSe4
_space_group_name_H-M_alt 'P 1'
_space_group_IT_number 1
_space_group_name_Hall 'P 1'
_cell_length_a 6.3653
_cell_length_b 6.4901
_cell_length_c 6.8381
_cell_angle_alpha 90.00
_cell_angle_beta 99.08
_cell_angle_gamma 90.00
loop_
_atom_site_label
_atom_site_fract_x
_atom_site_fract_y
_atom_site_fract_z
Se1 0.1184 0.3333 0.8122
Se2 0.6184 0.1667 0.8122
Se3 0.7688 0.2029 0.3260
Se4 0.8816 0.6667 0.1878
Se5 0.2312 0.7971 0.6740
Se6 0.2688 0.2971 0.3260
Se7 0.7312 0.7029 0.6740
Se8 0.3816 0.8333 0.1878
Np1 0.5000 0.5000 0.0000
Np2 0.0000 0.0000 0.0000
Ir1 0.0000 0.5000 0.5000
Ir2 0.5000 0.0000 0.5000
```

(12)
Computed, not measured: a relaxed structure of Cu4Tc3 at the PBE level of DFT.

Calculated values
The formation energy is 42.87 kJ/mol of atoms. Its space group is P6/mmm, No. 191. The value obtained for the calculated volume is 14.40 Å³ per atom.

Cell and atoms, written as CIF:
```
data_Cu4Tc3
_space_group_name_H-M_alt 'P 1'
_space_group_IT_number 1
_space_group_name_Hall 'P 1'
_cell_length_a 4.9765
_cell_length_b 4.9765
_cell_length_c 4.7011
_cell_angle_alpha 90.00
_cell_angle_beta 90.00
_cell_angle_gamma 120.00
loop_
_atom_site_label
_atom_site_fract_x
_atom_site_fract_y
_atom_site_fract_z
Cu1 0.0000 0.0000 0.7488
Cu2 0.6667 0.3333 0.5000
Cu3 0.3333 0.6667 0.5000
Cu4 0.0000 0.0000 0.2512
Tc1 0.5000 0.5000 0.0000
Tc2 0.0000 0.5000 0.0000
Tc3 0.5000 0.0000 0.0000
```